1.
First-principles (GGA-PBE) data for a relaxed Dy8ErMg2 crystal, as listed in the Alexandria database.

## Properties
**Offset from the most stable computed form**: 0.0 meV/atom

Unit cell a=17.5525 b=4.9880 c=7.9163 alpha=90.00 beta=107.30 gamma=90.00
With the nearest neighbours (Å) after each atom.
Space group C2/m (No. 12)
Asymmetric unit:
Dy: 0.0479 0.0000 0.2295 [4 per cell]  1 Mg 3.45, 9 Dy 3.46-3.55, 2 Er 3.55
Dy: 0.0922 0.5000 0.9561 [4 per cell]  3 Mg 3.44-3.45, 1 Er 3.49, 8 Dy 3.50-3.57
Dy: 0.1397 0.0000 0.6942 [4 per cell]  3 Mg 3.37-3.41, 7 Dy 3.50-3.55, 2 Er 3.51
Dy: 0.1824 0.5000 0.4236 [4 per cell]  3 Mg 3.38-3.62, 8 Dy 3.41-3.57, 1 Er 3.43
Er: 0.0000 0.5000 0.5000 [2 per cell]  12 Dy 3.43-3.55
Mg: 0.2273 0.0000 0.1349 [4 per cell]  10 Dy 3.37-3.62, 2 Mg 3.52



2.
First-principles (GGA-PBE) data for a relaxed TbPr2HoAs4 crystal, as listed in the Alexandria database.

## Properties
**Calculated total energy**: -6.18 eV/atom

Unit cell a=7.2953 b=4.2178 c=7.3009 alpha=90.00 beta=109.48 gamma=90.00
With the nearest neighbours (Å) after each atom.
Space group P2/m (No. 10)
Asymmetric unit:
Tb: 0.0000 0.0000 0.0000 [1 per cell]  6 As 2.94
Pr: 0.5000 0.0000 0.5000 [1 per cell]  6 As 3.02
Pr: 0.5000 0.5000 0.0000 [1 per cell]  6 As 3.03
Ho: 0.0000 0.5000 0.5000 [1 per cell]  6 As 2.93
As: 0.2382 0.0000 0.7450 [2 per cell]  2 Ho 2.93, 1 Tb 2.94, 3 Pr 3.02-3.03
As: 0.2391 0.5000 0.2474 [2 per cell]  1 Ho 2.93, 2 Tb 2.94, 3 Pr 3.02-3.03



3.
First-principles (GGA-PBE) data for a relaxed TmLuHgRh crystal, as listed in the Alexandria database.

## Properties
**Calculated total energy**: -4.81 eV/atom

Unit cell a=7.0222 b=7.0222 c=7.0222 alpha=90.00 beta=90.00 gamma=90.00
With the nearest neighbours (Å) after each atom.
Space group F-43m (No. 216)
Asymmetric unit:
Tm: 0.0000 0.0000 0.0000 [4 per cell]  4 Rh 3.04, 4 Hg 3.04
Lu: 0.0000 0.0000 0.5000 [4 per cell]  4 Hg 3.04, 4 Rh 3.04
Hg: 0.2500 0.2500 0.2500 [4 per cell]  4 Tm 3.04, 4 Lu 3.04
Rh: 0.2500 0.2500 0.7500 [4 per cell]  4 Lu 3.04, 4 Tm 3.04



4.
First-principles (GGA-PBE) data for a relaxed Ca3Ag7Sn2 crystal, as listed in the Alexandria database.

## Properties
**Calculated total energy**: -3.01 eV/atom

Unit cell a=4.3309 b=4.3309 c=29.9488 alpha=90.00 beta=90.00 gamma=90.00
With the nearest neighbours (Å) after each atom.
Space group I4/mmm (No. 139)
Asymmetric unit:
Ca: 0.0000 0.0000 0.0000 [2 per cell]  12 Ag 3.06-3.09
Ca: 0.0000 0.0000 0.1700 [4 per cell]  1 Ag 3.03, 4 Sn 3.25
Ag: 0.0000 0.0000 0.2711 [4 per cell]  1 Sn 2.84, 1 Ca 3.03
Ag: 0.0000 0.0000 0.5000 [2 per cell]  4 Ca 3.06, 8 Ag 3.09
Ag: 0.0000 0.5000 0.0738 [8 per cell]  2 Sn 2.82, 6 Ag 3.06-3.09, 2 Ca 3.09
Sn: 0.0000 0.0000 0.3659 [4 per cell]  5 Ag 2.82-2.84